PBE-GGA DyAgSn2, relaxed; formation energy = -0.44 eV/atom; crystal system = tetragonal; spin magnetization = 0.000 μB/f.u.
1.0
4.656 0.000 0.000
0.000 4.656 0.000
0.000 0.000 4.386
Dy Ag Sn
1 1 2
direct
0.000 0.000 0.000
0.500 0.500 0.000
0.000 0.500 0.500
0.500 0.000 0.500